A relaxed Pr2NdHfP4 crystal, computed with PBE-GGA.

The calculation puts the calculated formation energy at -138.2 kJ per mole of atoms. As for the space group: P2/m (10). Its density of states at the Fermi level is 0.1797 states/eV/atom.

abc: 4.0476 7.0275 7.0338
angles: 109.15 90.00 90.00
Closest atoms and distances in Å follow each position.
Sites, in units of the cell vectors:
1 Pr 0.5000 0.0000 0.5000  6 P 2.88
2 Pr 0.0000 0.5000 0.5000  6 P 3.01
3 Nd 0.5000 0.5000 0.0000  6 P 2.86-2.87
4 Hf 0.0000 0.0000 0.0000  6 P 2.72-2.74
5 P 0.5000 0.2277 0.2263  2 Hf 2.74, 1 Nd 2.86, 3 Pr 2.88-3.01
6 P 0.5000 0.7723 0.7737  2 Hf 2.74, 1 Nd 2.86, 3 Pr 2.88-3.01
7 P 0.0000 0.2386 0.7644  1 Hf 2.72, 2 Nd 2.87, 3 Pr 2.88-3.01
8 P 0.0000 0.7614 0.2356  1 Hf 2.72, 2 Nd 2.87, 3 Pr 2.88-3.01